No. 1
# La2SmLu

A relaxed La2SmLu crystal (GGA-PBE, Alexandria).

a b c (Å): 3.714 3.714 9.941
angles (deg): 90.00 90.00 90.00
Atoms (fractional coordinates):
La (0.000, 0.000, 0.244)
La (0.000, 0.000, 0.756)
Sm (0.500, 0.500, 0.500)
Lu (0.500, 0.500, 0.000)

Output
Offset from the most stable computed form in meV per atom: 8
VASP energy in eV/cell: -19.0
Energy of formation from the pure elements in eV/atom: 0.0261
Space group: P4/mmm, No. 123


No. 2
# Tb6SiCl8

A relaxed Tb6SiCl8 crystal (GGA-PBE, Alexandria).

a b c (Å): 10.764 10.764 10.764
angles (deg): 37.42 37.42 37.42
Atoms (fractional coordinates):
Tb (0.053, 0.362, 0.743)
Tb (0.257, 0.947, 0.638)
Tb (0.362, 0.743, 0.053)
Tb (0.638, 0.257, 0.947)
Tb (0.743, 0.053, 0.362)
Tb (0.947, 0.638, 0.257)
Si (0.000, 0.000, 0.000)
Cl (0.106, 0.766, 0.446)
Cl (0.234, 0.554, 0.894)
Cl (0.333, 0.333, 0.333)
Cl (0.446, 0.106, 0.766)
Cl (0.554, 0.894, 0.234)
Cl (0.667, 0.667, 0.667)
Cl (0.766, 0.446, 0.106)
Cl (0.894, 0.234, 0.554)

Output
Energy relative to the elements, uncorrected in kJ/mol of atoms: -161
VASP energy in eV/cell: -73.1
Space group: R-3, No. 148


No. 3
# K3La3GaSe8

A relaxed K3La3GaSe8 crystal (GGA-PBE, Alexandria).

a b c (Å): 8.654 8.654 9.279
angles (deg): 117.83 117.83 59.96
Atoms (fractional coordinates):
K (0.000, 0.000, 0.000)
K (0.000, 0.500, 0.000)
K (0.500, 0.000, 0.000)
La (0.000, 0.500, 0.500)
La (0.500, 0.000, 0.500)
La (0.500, 0.500, 0.500)
Ga (0.000, 0.000, 0.500)
Se (0.214, 0.214, 0.693)
Se (0.215, 0.764, 0.694)
Se (0.236, 0.785, 0.306)
Se (0.262, 0.262, 0.287)
Se (0.738, 0.738, 0.713)
Se (0.764, 0.215, 0.694)
Se (0.785, 0.236, 0.306)
Se (0.786, 0.786, 0.307)

Output
Energy relative to the elements, uncorrected in kJ/mol of atoms: -136
VASP energy in eV/cell: -70.1
Space group: C2/m, No. 12


No. 4
# CaTc2Mo

A relaxed CaTc2Mo crystal (GGA-PBE, Alexandria).

a b c (Å): 3.836 3.836 9.313
angles (deg): 90.00 90.00 90.00
Atoms (fractional coordinates):
Ca (0.000, 0.000, 0.000)
Ca (0.500, 0.500, 0.500)
Tc (0.000, 0.000, 0.500)
Tc (0.000, 0.500, 0.250)
Tc (0.500, 0.000, 0.750)
Tc (0.500, 0.500, 0.000)
Mo (0.000, 0.500, 0.750)
Mo (0.500, 0.000, 0.250)

Output
Offset from the most stable computed form in meV per atom: 460
VASP energy in eV/cell: -60.9
Energy of formation from the pure elements in eV/atom: 0.7839
Space group: I-4m2, No. 119


No. 5
# Sm3AsBr7

A relaxed Sm3AsBr7 crystal (GGA-PBE, Alexandria).

a b c (Å): 8.677 8.677 6.726
angles (deg): 90.00 90.00 120.00
Atoms (fractional coordinates):
Sm (0.006, 0.503, 0.000)
Sm (0.497, 0.503, 0.000)
Sm (0.497, 0.994, 0.000)
As (0.333, 0.667, 0.779)
Br (0.179, 0.358, 0.244)
Br (0.179, 0.821, 0.244)
Br (0.351, 0.175, 0.779)
Br (0.642, 0.821, 0.244)
Br (0.667, 0.333, 0.249)
Br (0.825, 0.175, 0.779)
Br (0.825, 0.649, 0.779)

Output
Energy relative to the elements, uncorrected in kJ/mol of atoms: -154
VASP energy in eV/cell: -48.1
Space group: P3m1, No. 156


No. 6
# ScTa2Pd

A relaxed ScTa2Pd crystal (GGA-PBE, Alexandria).

a b c (Å): 3.842 3.842 20.962
angles (deg): 90.00 90.00 90.00
Atoms (fractional coordinates):
Sc (0.000, 0.000, 0.000)
Sc (0.000, 0.500, 0.250)
Sc (0.500, 0.000, 0.750)
Sc (0.500, 0.500, 0.500)
Ta (0.248, 0.250, 0.625)
Ta (0.250, 0.748, 0.875)
Ta (0.250, 0.752, 0.375)
Ta (0.252, 0.250, 0.125)
Ta (0.748, 0.750, 0.125)
Ta (0.750, 0.248, 0.375)
Ta (0.750, 0.252, 0.875)
Ta (0.752, 0.750, 0.625)
Pd (0.000, 0.000, 0.500)
Pd (0.000, 0.500, 0.750)
Pd (0.500, 0.000, 0.250)
Pd (0.500, 0.500, 0.000)

Output
Offset from the most stable computed form in meV per atom: 18
VASP energy in eV/cell: -137.2
Energy of formation from the pure elements in eV/atom: 0.2329
Space group: I-42d, No. 122


No. 7
# Pm5Pr3Nd4

A relaxed Pm5Pr3Nd4 crystal (GGA-PBE, Alexandria).

a b c (Å): 6.371 7.346 9.018
angles (deg): 90.02 90.08 90.04
Atoms (fractional coordinates):
Pm (0.000, 0.000, 0.000)
Pm (0.334, 0.500, 0.333)
Pm (0.499, 0.750, 0.000)
Pm (0.501, 0.250, 0.000)
Pm (0.666, 0.500, 0.667)
Pr (0.000, 0.500, 0.000)
Pr (0.167, 0.250, 0.667)
Pr (0.833, 0.750, 0.333)
Nd (0.167, 0.750, 0.667)
Nd (0.333, 0.000, 0.332)
Nd (0.667, 0.000, 0.668)
Nd (0.833, 0.250, 0.333)

Output
Offset from the most stable computed form in meV per atom: 0
VASP energy in eV/cell: -57.0
Energy of formation from the pure elements in eV/atom: 0.0119
Space group: P-1, No. 2